Here is an optimized crystal structure of MgMn9CdO10 from Alexandria via LeMat-Bulk. Energies are from PBE with a Hubbard U.

Summary:
energy above the most stable polymorph in this dataset = 0.0000 eV/atom
calculated total energy = -7.166 eV per atom
calculated density = 4.7 Mg/m³

a = 5.546 Å, b = 5.558 Å, c = 9.773 Å
α = 93.79°, β = 96.51°, γ = 108.65°
Element x y z (fractional)
Mg: 0.731 0.600 0.663
Mn: 0.657 0.527 0.365
Mn: 0.075 0.971 0.053
Mn: 0.554 0.451 0.046
Mn: 0.690 0.061 0.539
Mn: 0.612 0.992 0.209
Mn: 0.108 0.495 0.202
Mn: 0.210 0.580 0.538
Mn: 0.165 0.042 0.391
Mn: 0.492 0.950 0.879
Cd: 0.025 0.396 0.837
O: 0.325 0.717 0.040
O: 0.401 0.784 0.369
O: 0.853 0.730 0.190
O: 0.937 0.793 0.524
O: 0.357 0.247 0.212
O: 0.275 0.178 0.905
O: 0.524 0.819 0.689
O: 0.803 0.194 0.043
O: 0.912 0.276 0.379
O: 0.469 0.327 0.529